Here is a relaxed BC crystal from Alexandria via LeMat-Bulk. Energies are from GGA-PBE.

abc: 11.421 11.421 11.421
angles: 13.55 13.55 13.55
Fractional positions:
B 0.283 0.283 0.283
B 0.504 0.504 0.504
B 0.409 0.409 0.409
B 0.004 0.004 0.004
C 0.955 0.955 0.955
C 0.170 0.170 0.170
C 0.735 0.735 0.735
C 0.690 0.690 0.690

Values from the calculation:
As for the space group: No. 160. For the total moment, the calculation gives 0.299 μB per cell. The formation energy is 0.33 eV per atom. For the offset from the most stable computed form, the calculation gives 0.37 eV/f.u.

***

Here is a relaxed BC crystal from Alexandria via LeMat-Bulk. Energies are from GGA-PBE.

abc: 2.452 2.467 13.144
angles: 90.00 90.00 90.00
Fractional positions:
B 0.500 0.500 0.848
C 0.000 0.000 0.328
C 0.000 0.500 0.095
B 0.500 0.000 0.948
C 0.500 0.500 0.467
B 0.500 0.500 0.179
B 0.000 0.000 0.648
B 0.000 0.500 0.747
C 0.000 0.000 0.031
B 0.500 0.000 0.546
C 0.500 0.000 0.262
C 0.000 0.500 0.401

Values from the calculation:
As for the space group: No. 25. For the total moment, the calculation gives 0.000 μB per cell. The formation energy is 0.34 eV per atom. For the offset from the most stable computed form, the calculation gives 0.38 eV/f.u.

***

Here is a relaxed BC crystal from Alexandria via LeMat-Bulk. Energies are from GGA-PBE.

abc: 2.652 2.651 17.149
angles: 90.00 89.97 120.00
Fractional positions:
B 0.668 0.334 0.863
C 0.000 0.000 0.516
B 0.000 0.000 0.279
C 0.333 0.667 0.133
B 0.666 0.333 0.762
B 0.001 0.001 0.922
C 0.666 0.333 0.269
C 0.000 0.000 0.014
C 0.334 0.667 0.046
B 0.333 0.667 0.516
B 0.666 0.333 0.172
C 0.332 0.666 0.759

Values from the calculation:
As for the space group: No. 156. For the total moment, the calculation gives 0.000 μB per cell. The formation energy is 0.43 eV per atom. For the offset from the most stable computed form, the calculation gives 0.55 eV/f.u.

***

Here is a relaxed B7C5 crystal from Alexandria via LeMat-Bulk. Energies are from GGA-PBE.

abc: 6.275 7.554 7.554
angles: 159.26 140.79 45.83
Fractional positions:
B 0.243 0.140 0.103
B 0.484 0.280 0.204
C 0.396 0.832 0.564
C 0.750 0.643 0.108
B 0.976 0.787 0.189
B 0.027 0.000 0.027
C 0.601 0.954 0.647
C 0.900 0.330 0.570
C 0.103 0.450 0.652
B 0.590 0.140 0.450
B 0.159 0.696 0.463
B 0.521 0.498 0.023

Values from the calculation:
As for the space group: No. 8. For the total moment, the calculation gives 0.000 μB per cell. The formation energy is 0.34 eV per atom. For the offset from the most stable computed form, the calculation gives 2.11 eV/f.u.